10
Lattice="7.054 0.000 0.000 0.000 7.054 0.000 0.000 0.000 3.297" Properties=species:S:1:pos:R:3 comment="Hf2NbCo2, optimized geometry, DFT PBE" ef_ev_per_atom=-0.205 energy_ev_per_atom=-9.042 space_group="No. 127" dos_at_fermi_per_ev_cell=11.41 pbc="T T T"
Hf 1.192 2.335 0.000
Hf 2.335 5.862 0.000
Hf 4.719 1.192 0.000
Hf 5.862 4.719 0.000
Nb 0.000 0.000 1.648
Nb 3.527 3.527 1.648
Co 0.894 4.421 1.648
Co 2.633 0.894 1.648
Co 4.421 6.160 1.648
Co 6.160 2.633 1.648